Record 1
# AgAuS2N, optimized geometry, DFT GGA-PBE
data_AgAuS2N
_space_group_name_H-M_alt 'P 1'
_space_group_IT_number 1
_cell_length_a 4.9577
_cell_length_b 4.9577
_cell_length_c 3.9788
_cell_angle_alpha 90.00
_cell_angle_beta 90.00
_cell_angle_gamma 90.00
loop_
_space_group_symop_operation_xyz
'x,y,z'
loop_
_atom_site_label
_atom_site_type_symbol
_atom_site_fract_x
_atom_site_fract_y
_atom_site_fract_z
Au1 Au 0.5000 0.5000 0.5000
S1 S 0.0000 0.5000 0.0000
Ag1 Ag 0.0000 0.0000 0.0000
N1 N 0.0000 0.0000 0.5000
S2 S 0.5000 0.0000 0.0000
# Uncorrected formation energy (eV/atom): 1.468
# DOS(E_F) (states/eV/cell): 4.32
# ρ (g/cm3): 6.503

---

Record 2
# MnRe3Sn, optimized geometry, DFT GGA-PBE
data_MnRe3Sn
_space_group_name_H-M_alt 'P 1'
_space_group_IT_number 1
_cell_length_a 4.4735
_cell_length_b 4.4735
_cell_length_c 4.4735
_cell_angle_alpha 90.00
_cell_angle_beta 90.00
_cell_angle_gamma 90.00
loop_
_space_group_symop_operation_xyz
'x,y,z'
loop_
_atom_site_label
_atom_site_type_symbol
_atom_site_fract_x
_atom_site_fract_y
_atom_site_fract_z
Re1 Re 0.0000 0.0000 0.5000
Mn1 Mn 0.0000 0.0000 0.0000
Re2 Re 0.0000 0.5000 0.0000
Re3 Re 0.5000 0.0000 0.0000
Sn1 Sn 0.5000 0.5000 0.5000
# Final energy (eV per atom): -8.673
# DOS(E_F) (states/eV/cell): 7.44
# ρ (g/cm3): 13.582

---

Record 3
# Pm2Cu2Hg, optimized geometry, DFT GGA-PBE
data_Pm2Cu2Hg
_space_group_name_H-M_alt 'P 1'
_space_group_IT_number 1
_cell_length_a 3.7542
_cell_length_b 4.2293
_cell_length_c 7.4781
_cell_angle_alpha 106.43
_cell_angle_beta 90.00
_cell_angle_gamma 90.00
loop_
_space_group_symop_operation_xyz
'x,y,z'
loop_
_atom_site_label
_atom_site_type_symbol
_atom_site_fract_x
_atom_site_fract_y
_atom_site_fract_z
Hg1 Hg 0.0000 0.0000 0.0000
Pm1 Pm 0.5000 0.3672 0.7343
Pm2 Pm 0.5000 0.6328 0.2657
Cu1 Cu 0.0000 0.2026 0.4053
Cu2 Cu 0.0000 0.7974 0.5947
# Final energy (eV per atom): -3.925
# DOS(E_F) (states/eV/cell): 3.58
# ρ (g/cm3): 9.006

---

Record 4
# HoMn2Cr, optimized geometry, DFT GGA-PBE
data_HoMn2Cr
_space_group_name_H-M_alt 'P 1'
_space_group_IT_number 1
_cell_length_a 2.9976
_cell_length_b 2.9976
_cell_length_c 8.7524
_cell_angle_alpha 80.14
_cell_angle_beta 80.14
_cell_angle_gamma 60.00
loop_
_space_group_symop_operation_xyz
'x,y,z'
loop_
_atom_site_label
_atom_site_type_symbol
_atom_site_fract_x
_atom_site_fract_y
_atom_site_fract_z
Mn1 Mn 0.7352 0.7352 0.7944
Ho1 Ho 0.5000 0.5000 0.5000
Cr1 Cr 0.0000 0.0000 0.0000
Mn2 Mn 0.2648 0.2648 0.2056
# Final energy (eV per atom): -7.581
# DOS(E_F) (states/eV/cell): 5.59
# ρ (g/cm3): 8.128

---

Record 5
# AcCuTcO6, optimized geometry, DFT GGA-PBE
data_AcCuTcO6
_space_group_name_H-M_alt 'P 1'
_space_group_IT_number 1
_cell_length_a 5.1913
_cell_length_b 5.5405
_cell_length_c 5.2389
_cell_angle_alpha 95.54
_cell_angle_beta 92.94
_cell_angle_gamma 57.72
loop_
_space_group_symop_operation_xyz
'x,y,z'
loop_
_atom_site_label
_atom_site_type_symbol
_atom_site_fract_x
_atom_site_fract_y
_atom_site_fract_z
Cu1 Cu 0.6723 0.6638 0.4999
O1 O 0.3624 0.6180 0.3293
O2 O 0.5893 0.3592 0.7537
Tc1 Tc 0.3589 0.3206 0.5000
O3 O 0.3625 0.0196 0.6708
O4 O 0.9967 0.3777 0.2948
O5 O 0.5898 0.0513 0.2466
Ac1 Ac 0.0715 0.9642 0.9999
O6 O 0.9964 0.6257 0.7050
# Uncorrected formation energy (eV/atom): -1.705
# DOS(E_F) (states/eV/cell): 2.58
# ρ (g/cm3): 6.346

---

Record 6
# Dy2ZnGa, optimized geometry, DFT GGA-PBE
data_Dy2ZnGa
_space_group_name_H-M_alt 'P 1'
_space_group_IT_number 1
_cell_length_a 5.0495
_cell_length_b 5.0495
_cell_length_c 5.0495
_cell_angle_alpha 60.00
_cell_angle_beta 60.00
_cell_angle_gamma 60.00
loop_
_space_group_symop_operation_xyz
'x,y,z'
loop_
_atom_site_label
_atom_site_type_symbol
_atom_site_fract_x
_atom_site_fract_y
_atom_site_fract_z
Zn1 Zn 0.5000 0.5000 0.5000
Ga1 Ga 0.0000 0.0000 0.0000
Dy1 Dy 0.7500 0.7500 0.7500
Dy2 Dy 0.2500 0.2500 0.2500
# Final energy (eV per atom): -3.857
# DOS(E_F) (states/eV/cell): 3.09
# ρ (g/cm3): 8.392

---

Record 7
# Cu2AsCl, optimized geometry, DFT GGA-PBE
data_Cu2AsCl
_space_group_name_H-M_alt 'P 1'
_space_group_IT_number 1
_cell_length_a 3.0764
_cell_length_b 7.6998
_cell_length_c 3.7186
_cell_angle_alpha 90.00
_cell_angle_beta 90.00
_cell_angle_gamma 90.00
loop_
_space_group_symop_operation_xyz
'x,y,z'
loop_
_atom_site_label
_atom_site_type_symbol
_atom_site_fract_x
_atom_site_fract_y
_atom_site_fract_z
Cu1 Cu 0.5000 0.5000 0.0000
Cu2 Cu 0.0000 0.0000 0.0000
As1 As 0.5000 0.0000 0.5000
Cl1 Cl 0.0000 0.5000 0.5000
# Uncorrected formation energy (eV/atom): 0.193
# DOS(E_F) (states/eV/cell): 1.61
# ρ (g/cm3): 4.477

---

Record 8
# SbH2O, optimized geometry, DFT GGA-PBE
data_SbH2O
_space_group_name_H-M_alt 'P 1'
_space_group_IT_number 1
_cell_length_a 3.7034
_cell_length_b 3.7034
_cell_length_c 3.7034
_cell_angle_alpha 60.00
_cell_angle_beta 60.00
_cell_angle_gamma 60.00
loop_
_space_group_symop_operation_xyz
'x,y,z'
loop_
_atom_site_label
_atom_site_type_symbol
_atom_site_fract_x
_atom_site_fract_y
_atom_site_fract_z
O1 O 0.0000 0.0000 0.0000
H1 H 0.2500 0.2500 0.2500
H2 H 0.7500 0.7500 0.7500
Sb1 Sb 0.5000 0.5000 0.5000
# Final energy (eV per atom): -3.419
# DOS(E_F) (states/eV/cell): 2.55
# ρ (g/cm3): 6.462

---

Record 9
# Pr2UAlRh6, optimized geometry, DFT GGA-PBE
data_Pr2UAlRh6
_space_group_name_H-M_alt 'P 1'
_space_group_IT_number 1
_cell_length_a 6.6656
_cell_length_b 6.3326
_cell_length_c 7.0740
_cell_angle_alpha 69.66
_cell_angle_beta 61.27
_cell_angle_gamma 108.40
loop_
_space_group_symop_operation_xyz
'x,y,z'
loop_
_atom_site_label
_atom_site_type_symbol
_atom_site_fract_x
_atom_site_fract_y
_atom_site_fract_z
Rh1 Rh 0.7065 0.9700 0.8755
Rh2 Rh 0.7661 0.8593 0.5056
Al1 Al 0.0000 0.0000 0.0000
Rh3 Rh 0.2365 0.7516 0.9130
Rh4 Rh 0.2339 0.1407 0.4944
Rh5 Rh 0.7635 0.2484 0.0870
U1 U 0.5000 0.5000 0.0000
Pr1 Pr 0.7255 0.3582 0.4689
Pr2 Pr 0.2745 0.6418 0.5311
Rh6 Rh 0.2935 0.0300 0.1245
# Final energy (eV per atom): -7.454
# DOS(E_F) (states/eV/cell): 5.29
# ρ (g/cm3): 9.728

---

Record 10
# YHfTa, optimized geometry, DFT GGA-PBE
data_YHfTa
_space_group_name_H-M_alt 'P 1'
_space_group_IT_number 1
_cell_length_a 5.3080
_cell_length_b 5.8030
_cell_length_c 5.9896
_cell_angle_alpha 94.27
_cell_angle_beta 115.42
_cell_angle_gamma 115.59
loop_
_space_group_symop_operation_xyz
'x,y,z'
loop_
_atom_site_label
_atom_site_type_symbol
_atom_site_fract_x
_atom_site_fract_y
_atom_site_fract_z
Y1 Y 0.5797 0.2788 0.9236
Hf1 Hf 0.1861 0.2127 0.3004
Hf2 Hf 0.8139 0.7873 0.6996
Ta1 Ta 0.1874 0.7427 0.4664
Y2 Y 0.4203 0.7212 0.0764
Ta2 Ta 0.8126 0.2573 0.5336
# Final energy (eV per atom): -9.181
# DOS(E_F) (states/eV/cell): 5.73
# ρ (g/cm3): 10.454

---

Record 11
# PrTm2PaSb4, optimized geometry, DFT GGA-PBE
data_PrTm2PaSb4
_space_group_name_H-M_alt 'P 1'
_space_group_IT_number 1
_cell_length_a 4.3967
_cell_length_b 7.6436
_cell_length_c 7.5872
_cell_angle_alpha 109.36
_cell_angle_beta 90.00
_cell_angle_gamma 90.00
loop_
_space_group_symop_operation_xyz
'x,y,z'
loop_
_atom_site_label
_atom_site_type_symbol
_atom_site_fract_x
_atom_site_fract_y
_atom_site_fract_z
Sb1 Sb 0.5000 0.2598 0.2601
Sb2 Sb 0.0000 0.7475 0.2574
Tm1 Tm 0.5000 0.0000 0.5000
Sb3 Sb 0.0000 0.2525 0.7426
Sb4 Sb 0.5000 0.7402 0.7399
Pa1 Pa 0.5000 0.5000 0.0000
Pr1 Pr 0.0000 0.0000 0.0000
Tm2 Tm 0.0000 0.5000 0.5000
# Uncorrected formation energy (eV/atom): -0.932
# DOS(E_F) (states/eV/cell): 6.66
# ρ (g/cm3): 8.261

---

Record 12
# Ba4MgCu5, optimized geometry, DFT GGA-PBE
data_Ba4MgCu5
_space_group_name_H-M_alt 'P 1'
_space_group_IT_number 1
_cell_length_a 4.8192
_cell_length_b 8.4947
_cell_length_c 8.4947
_cell_angle_alpha 85.38
_cell_angle_beta 73.52
_cell_angle_gamma 73.52
loop_
_space_group_symop_operation_xyz
'x,y,z'
loop_
_atom_site_label
_atom_site_type_symbol
_atom_site_fract_x
_atom_site_fract_y
_atom_site_fract_z
Ba1 Ba 0.7652 0.7335 0.7335
Ba2 Ba 0.2323 0.2665 0.2665
Cu1 Cu 0.2145 0.0000 0.5687
Ba3 Ba 0.4988 0.2665 0.7335
Mg1 Mg 0.9996 0.0000 0.0000
Cu2 Cu 0.4997 0.0000 0.0000
Cu3 Cu 0.7832 0.0000 0.4313
Cu4 Cu 0.7832 0.4313 0.0000
Ba4 Ba 0.4988 0.7335 0.2665
Cu5 Cu 0.2145 0.5687 0.0000
# Final energy (eV per atom): -2.928
# DOS(E_F) (states/eV/cell): 5.59
# ρ (g/cm3): 4.629